Density functional theory data (PBE-GGA) for PbAuBr5 after structural relaxation.

Values from the calculation:
**Uncorrected formation energy**: -451 meV per atom
**Offset from the most stable computed form**: 0 meV per atom
**E**: -74.03 eV for the cell shown

Cell lengths 15.1215, 5.9359, 13.8341 Å; angles 90.00, 117.11, 90.00 degrees
Last column: nearest neighbours and their distance in Å.
Space group C2/c (No. 15)
Symmetry-distinct sites (fractional):
Pb 0.0000 0.0141 0.2500 (multiplicity 4)  6 Br 2.88-3.13
Au 0.2500 0.2500 0.5000 (multiplicity 4)  4 Br 2.48
Br 0.0000 0.4708 0.7500 (multiplicity 4)  2 Pb 2.88-3.06
Br 0.1138 0.0224 0.5036 (multiplicity 8)  1 Au 2.48
Br 0.2298 0.0524 0.3331 (multiplicity 8)  1 Au 2.48

Density functional theory data (PBE-GGA) for Pb2AuBr after structural relaxation.

Values from the calculation:
**Uncorrected formation energy**: -214 meV per atom
**Offset from the most stable computed form**: 84 meV per atom
**E**: -26.45 eV for the cell shown

Cell lengths 3.8155, 3.8398, 16.4708 Å; angles 90.00, 90.00, 90.00 degrees
Last column: nearest neighbours and their distance in Å.
Space group Imm2 (No. 44)
Symmetry-distinct sites (fractional):
Pb 0.0000 0.0000 0.0000 (multiplicity 2)  2 Au 2.93
Pb 0.0000 0.5000 0.2163 (multiplicity 2)  4 Au 3.02, 2 Br 3.33
Au 0.0000 0.5000 0.6348 (multiplicity 2)  6 Pb 2.93-3.02
Br 0.0000 0.0000 0.3817 (multiplicity 2)  6 Pb 3.33-3.34

Density functional theory data (PBE-GGA) for Pb2AuBr after structural relaxation.

Values from the calculation:
**Uncorrected formation energy**: -236 meV per atom
**Offset from the most stable computed form**: 62 meV per atom
**E**: -13.31 eV for the cell shown

Cell lengths 3.6226, 3.6226, 8.2784 Å; angles 90.00, 90.00, 90.00 degrees
Last column: nearest neighbours and their distance in Å.
Space group P4/mmm (No. 123)
Symmetry-distinct sites (fractional):
Pb 0.0000 0.0000 0.2198 (multiplicity 2)  4 Au 3.14, 4 Br 3.46
Au 0.5000 0.5000 0.0000 (multiplicity 1)  8 Pb 3.14
Br 0.5000 0.5000 0.5000 (multiplicity 1)  8 Pb 3.46, 4 Br 3.62

Density functional theory data (PBE-GGA) for Pb2AuBr after structural relaxation.

Values from the calculation:
**Uncorrected formation energy**: -81 meV per atom
**Offset from the most stable computed form**: 217 meV per atom
**E**: -38.07 eV for the cell shown

Cell lengths 3.9601, 3.9601, 25.9641 Å; angles 90.00, 90.00, 120.00 degrees
Last column: nearest neighbours and their distance in Å.
Space group R3m (No. 160, hexagonal axes)
Symmetry-distinct sites (fractional):
Pb 0.0000 0.0000 0.0000 (multiplicity 3)  3 Br 3.24, 3 Pb 3.51
Pb 0.0000 0.0000 0.2308 (multiplicity 3)  3 Au 2.87
Au 0.0000 0.0000 0.4975 (multiplicity 3)  3 Pb 2.87, 3 Br 3.02
Br 0.0000 0.0000 0.7549 (multiplicity 3)  3 Au 3.02, 3 Pb 3.24

Density functional theory data (PBE-GGA) for Pb2AuBr after structural relaxation.

Values from the calculation:
**Uncorrected formation energy**: -64 meV per atom
**Offset from the most stable computed form**: 234 meV per atom
**E**: -50.49 eV for the cell shown

Cell lengths 7.5460, 7.5460, 7.5460 Å; angles 90.00, 90.00, 90.00 degrees
Last column: nearest neighbours and their distance in Å.
Space group Fm-3m (No. 225)
Symmetry-distinct sites (fractional):
Pb 0.2500 0.2500 0.2500 (multiplicity 8)  4 Br 3.27, 4 Au 3.27
Au 0.0000 0.0000 0.0000 (multiplicity 4)  8 Pb 3.27
Br 0.0000 0.0000 0.5000 (multiplicity 4)  8 Pb 3.27

Density functional theory data (PBE-GGA) for Pb2AuBr after structural relaxation.

Values from the calculation:
**Uncorrected formation energy**: -298 meV per atom
**Offset from the most stable computed form**: 0 meV per atom
**E**: -27.12 eV for the cell shown

Cell lengths 6.9526, 4.0581, 8.7290 Å; angles 90.00, 106.00, 90.00 degrees
Last column: nearest neighbours and their distance in Å.
Space group C2/m (No. 12)
Symmetry-distinct sites (fractional):
Pb 0.2392 0.0000 0.2179 (multiplicity 4)  3 Au 2.96-2.97
Au 0.0000 0.5000 0.0000 (multiplicity 2)  6 Pb 2.96-2.97
Br 0.0000 0.0000 0.5000 (multiplicity 2)  6 Pb 3.32-3.33

Density functional theory data (PBE-GGA) for Pb2AuBr after structural relaxation.

Values from the calculation:
**Uncorrected formation energy**: -281 meV per atom
**Offset from the most stable computed form**: 17 meV per atom
**E**: -40.48 eV for the cell shown

Cell lengths 4.0213, 4.0213, 25.4472 Å; angles 90.00, 90.00, 120.00 degrees
Last column: nearest neighbours and their distance in Å.
Space group R3m (No. 160, hexagonal axes)
Symmetry-distinct sites (fractional):
Pb 0.0000 0.0000 0.0000 (multiplicity 3)  3 Au 2.96, 3 Br 3.29
Pb 0.0000 0.0000 0.1887 (multiplicity 3)  3 Au 2.97
Au 0.0000 0.0000 0.5946 (multiplicity 3)  6 Pb 2.96-2.97
Br 0.0000 0.0000 0.4251 (multiplicity 3)  6 Pb 3.29-3.39

Density functional theory data (PBE-GGA) for Pb3AuBr after structural relaxation.

Values from the calculation:
**Uncorrected formation energy**: 141 meV per atom
**Offset from the most stable computed form**: 0 meV per atom
**E**: -15.37 eV for the cell shown

Cell lengths 5.6513, 5.6513, 5.6513 Å; angles 90.00, 90.00, 90.00 degrees
Last column: nearest neighbours and their distance in Å.
Space group Pm-3m (No. 221)
Symmetry-distinct sites (fractional):
Pb 0.0000 0.0000 0.5000 (multiplicity 3)  2 Au 2.83
Au 0.0000 0.0000 0.0000 (multiplicity 1)  6 Pb 2.83
Br 0.5000 0.5000 0.5000 (multiplicity 1)  12 Pb 4.00

Density functional theory data (PBE-GGA) for PbAuBr after structural relaxation.

Values from the calculation:
**Uncorrected formation energy**: -168 meV per atom
**Offset from the most stable computed form**: 98 meV per atom
**E**: -36.65 eV for the cell shown

Cell lengths 7.2498, 7.2498, 7.2498 Å; angles 90.00, 90.00, 90.00 degrees
Last column: nearest neighbours and their distance in Å.
Space group F-43m (No. 216)
Symmetry-distinct sites (fractional):
Pb 0.0000 0.0000 0.0000 (multiplicity 4)  4 Br 3.14, 4 Au 3.14
Au 0.2500 0.2500 0.2500 (multiplicity 4)  4 Pb 3.14
Br 0.2500 0.2500 0.7500 (multiplicity 4)  4 Pb 3.14

Density functional theory data (PBE-GGA) for Pb2AuBr after structural relaxation.

Values from the calculation:
**Uncorrected formation energy**: -60 meV per atom
**Offset from the most stable computed form**: 238 meV per atom
**E**: -50.43 eV for the cell shown

Cell lengths 6.5460, 6.5460, 14.5847 Å; angles 90.00, 90.00, 90.00 degrees
Last column: nearest neighbours and their distance in Å.
Space group I-42d (No. 122)
Symmetry-distinct sites (fractional):
Pb 0.2008 0.2500 0.1250 (multiplicity 8)  2 Au 2.78
Au 0.0000 0.0000 0.0000 (multiplicity 4)  4 Pb 2.78
Br 0.0000 0.0000 0.5000 (multiplicity 4)  4 Pb 3.14

Density functional theory data (PBE-GGA) for PbAuBr after structural relaxation.

Values from the calculation:
**Uncorrected formation energy**: -185 meV per atom
**Offset from the most stable computed form**: 80 meV per atom
**E**: -18.43 eV for the cell shown

Cell lengths 3.7918, 3.7918, 11.2140 Å; angles 90.00, 90.00, 90.00 degrees
Last column: nearest neighbours and their distance in Å.
Space group I4mm (No. 107)
Symmetry-distinct sites (fractional):
Pb 0.0000 0.0000 0.0000 (multiplicity 2)  4 Au 3.03, 1 Br 3.31
Au 0.0000 0.0000 0.6250 (multiplicity 2)  4 Pb 3.03, 4 Br 3.29
Br 0.0000 0.0000 0.2954 (multiplicity 2)  4 Au 3.29, 5 Pb 3.31-3.53

Density functional theory data (PBE-GGA) for Pb3AuBr after structural relaxation.

Values from the calculation:
**Uncorrected formation energy**: 615 meV per atom
**Offset from the most stable computed form**: 474 meV per atom
**E**: -13.00 eV for the cell shown

Cell lengths 5.6803, 5.6803, 5.6803 Å; angles 90.00, 90.00, 90.00 degrees
Last column: nearest neighbours and their distance in Å.
Space group Pm-3m (No. 221)
Symmetry-distinct sites (fractional):
Pb 0.0000 0.0000 0.5000 (multiplicity 3)  2 Br 2.84
Au 0.5000 0.5000 0.5000 (multiplicity 1)  12 Pb 4.02
Br 0.0000 0.0000 0.0000 (multiplicity 1)  6 Pb 2.84